A | ## ZnCd3Cu (GGA-PBE)

Data for ZnCd3Cu after structural relaxation.

## Properties
Space group = Pm-3m
Total magnetic moment = 0.0 μB/cell
Crystal system = cubic

Cell lengths 5.0546, 5.0546, 5.0546 Å; angles 90.00, 90.00, 90.00 degrees
Fractional coordinates of all 5 atoms:
Cu (0.0000, 0.0000, 0.0000)
Zn (0.5000, 0.5000, 0.5000)
Cd (0.0000, 0.5000, 0.0000)
Cd (0.5000, 0.0000, 0.0000)
Cd (0.0000, 0.0000, 0.5000)

***

B | ## ZnCd3Cu (GGA-PBE)

Data for ZnCd3Cu after structural relaxation.

## Properties
Space group = Pm-3m
Total magnetic moment = 0.0 μB/cell
Crystal system = cubic

Cell lengths 5.0282, 5.0282, 5.0282 Å; angles 90.00, 90.00, 90.00 degrees
Fractional coordinates of all 5 atoms:
Cd (0.5000, 0.0000, 0.0000)
Cd (0.0000, 0.5000, 0.0000)
Cd (0.0000, 0.0000, 0.5000)
Cu (0.5000, 0.5000, 0.5000)
Zn (0.0000, 0.0000, 0.0000)

***

So which one is most stable? That would be A, about 244 meV per atom below the next structure.

***

A | ## ZrCd3Cu (GGA-PBE)

Data for ZrCd3Cu after structural relaxation.

## Properties
Space group = Pm-3m
Total magnetic moment = 1.4 μB/cell
Crystal system = cubic

Cell lengths 5.6619, 5.6619, 5.6619 Å; angles 90.00, 90.00, 90.00 degrees
Site moments in Bohr magnetons follow the coordinates.
Fractional coordinates of all 5 atoms:
Cu (0.5000, 0.5000, 0.5000)  -0.02
Cd (0.5000, 0.0000, 0.0000)  0.06
Cd (0.0000, 0.0000, 0.5000)  0.02
Cd (0.0000, 0.5000, 0.0000)  0.04
Zr (0.0000, 0.0000, 0.0000)  0.77

***

B | ## ZrCd3Cu (GGA-PBE)

Data for ZrCd3Cu after structural relaxation.

## Properties
Space group = Pm-3m
Total magnetic moment = 0.0 μB/cell
Crystal system = cubic

Cell lengths 4.8218, 4.8218, 4.8218 Å; angles 90.00, 90.00, 90.00 degrees
Fractional coordinates of all 5 atoms:
Zr (0.5000, 0.5000, 0.5000)
Cd (0.0000, 0.0000, 0.5000)
Cd (0.0000, 0.5000, 0.0000)
Cd (0.5000, 0.0000, 0.0000)
Cu (0.0000, 0.0000, 0.0000)

***

So which one is most stable? That would be B, about 829 meV per atom below the next structure.

***

A | ## DyCd4 (GGA-PBE)

Data for DyCd4 after structural relaxation.

## Properties
Space group = Pm-3m
Total magnetic moment = 0.0 μB/cell
Crystal system = cubic

Cell lengths 5.9830, 5.9830, 5.9830 Å; angles 90.00, 90.00, 90.00 degrees
Fractional coordinates of all 5 atoms:
Cd (0.0000, 0.0000, 0.0000)
Cd (0.5000, 0.5000, 0.0000)
Cd (0.5000, 0.0000, 0.5000)
Cd (0.0000, 0.5000, 0.5000)
Dy (0.5000, 0.5000, 0.5000)

***

B | ## DyCd4 (GGA-PBE)

Data for DyCd4 after structural relaxation.

## Properties
Space group = Imma
Total magnetic moment = 0.0 μB/cell
Crystal system = orthorhombic

Cell lengths 4.8549, 6.5979, 8.4654 Å; angles 112.94, 106.66, 90.00 degrees
Fractional coordinates of all 10 atoms:
Cd (0.6976, 0.7022, 0.3952)
Cd (0.5000, 0.0000, 0.0000)
Cd (0.3024, 0.2978, 0.6048)
Cd (0.8870, 0.6370, 0.7741)
Cd (0.1130, 0.3630, 0.2259)
Cd (0.3024, 0.8070, 0.6048)
Cd (0.5000, 0.5000, 0.0000)
Cd (0.6976, 0.1930, 0.3952)
Dy (0.1051, 0.8551, 0.2103)
Dy (0.8949, 0.1449, 0.7897)

***

So which one is most stable? That would be B, about 877 meV per atom below the next structure.

***

A | ## Dy8Cd (GGA-PBE)

Data for Dy8Cd after structural relaxation.

## Properties
Space group = C2/m
Total magnetic moment = 0.0 μB/cell
Crystal system = monoclinic

Cell lengths 7.8054, 7.8229, 7.8229 Å; angles 143.12, 95.74, 95.74 degrees
Fractional coordinates of all 9 atoms:
Dy (0.0000, 0.6640, 0.3360)
Dy (0.6671, 0.6667, 0.9995)
Dy (0.3329, 0.3333, 0.0005)
Dy (0.3291, 0.6652, 0.6652)
Dy (0.6671, 0.9995, 0.6667)
Dy (0.3329, 0.0005, 0.3333)
Dy (0.0000, 0.3360, 0.6640)
Dy (0.6709, 0.3348, 0.3348)
Cd (0.0000, 0.0000, 0.0000)

***

B | ## Dy8Cd (GGA-PBE)

Data for Dy8Cd after structural relaxation.

## Properties
Space group = I4/mmm
Total magnetic moment = 0.0 μB/cell
Crystal system = tetragonal

Cell lengths 3.7168, 8.7738, 8.7738 Å; angles 87.43, 77.77, 77.77 degrees
Fractional coordinates of all 9 atoms:
Dy (0.6582, 0.6837, 0.0000)
Dy (0.3418, 0.3163, 0.0000)
Dy (0.6582, 0.0000, 0.6837)
Dy (0.0000, 0.6635, 0.3365)
Dy (0.3365, 0.6635, 0.6635)
Dy (0.0000, 0.3365, 0.6635)
Dy (0.6635, 0.3365, 0.3365)
Dy (0.3418, 0.0000, 0.3163)
Cd (0.0000, 0.0000, 0.0000)

***

So which one is most stable? That would be A, about 38 meV per atom below the next structure.

***

A | ## Dy3Cd2 (GGA-PBE)

Data for Dy3Cd2 after structural relaxation.

## Properties
Space group = P4/mmm
Total magnetic moment = 0.0 μB/cell
Crystal system = tetragonal

Cell lengths 3.6800, 3.6800, 20.2797 Å; angles 90.00, 90.00, 90.00 degrees
Fractional coordinates of all 10 atoms:
Dy (0.0000, 0.0000, 0.6886)
Dy (0.0000, 0.0000, 0.5000)
Dy (0.0000, 0.0000, 0.1199)
Dy (0.0000, 0.0000, 0.8801)
Dy (0.0000, 0.0000, 0.3114)
Dy (0.5000, 0.5000, 0.0000)
Cd (0.5000, 0.5000, 0.5949)
Cd (0.5000, 0.5000, 0.4051)
Cd (0.5000, 0.5000, 0.2154)
Cd (0.5000, 0.5000, 0.7846)

***

B | ## Dy3Cd2 (GGA-PBE)

Data for Dy3Cd2 after structural relaxation.

## Properties
Space group = C2/m
Total magnetic moment = 0.6 μB/cell
Crystal system = monoclinic

Cell lengths 5.1697, 8.2044, 11.0096 Å; angles 90.35, 90.00, 108.36 degrees
Site moments in Bohr magnetons follow the coordinates.
Fractional coordinates of all 15 atoms:
Cd (0.6705, 0.3410, 0.4963)  0.00
Cd (0.9961, 0.9923, 0.8369)  0.00
Cd (0.3295, 0.6590, 0.5037)  0.00
Cd (0.6629, 0.3257, 0.1702)  0.00
Cd (0.0039, 0.0077, 0.1631)  0.00
Cd (0.3371, 0.6743, 0.8298)  0.00
Dy (0.5000, 0.0000, 0.0000)  0.03
Dy (0.8386, 0.6772, 0.3283)  0.05
Dy (0.1719, 0.3437, 0.9948)  0.05
Dy (0.1614, 0.3228, 0.6717)  0.05
Dy (0.5052, 0.0105, 0.6615)  0.05
Dy (0.4948, 0.9895, 0.3385)  0.05
Dy (0.1668, 0.3336, 0.3332)  0.03
Dy (0.8281, 0.6563, 0.0052)  0.05
Dy (0.8332, 0.6664, 0.6668)  0.03

***

So which one is most stable? That would be A, about 169 meV per atom below the next structure.

***

A | ## Dy5Cd (GGA-PBE)

Data for Dy5Cd after structural relaxation.

## Properties
Space group = C2/m
Total magnetic moment = 0.0 μB/cell
Crystal system = monoclinic

Cell lengths 3.7350, 6.3924, 8.5919 Å; angles 67.27, 77.45, 73.01 degrees
Fractional coordinates of all 6 atoms:
Dy (0.3532, 0.4397, 0.8539)
Dy (0.3299, 0.0309, 0.3094)
Dy (0.0000, 0.5000, 0.5000)
Dy (0.6701, 0.9691, 0.6906)
Dy (0.6468, 0.5603, 0.1461)
Cd (0.0000, 0.0000, 0.0000)

***

B | ## Dy5Cd (GGA-PBE)

Data for Dy5Cd after structural relaxation.

## Properties
Space group = Cmmm
Total magnetic moment = 0.0 μB/cell
Crystal system = orthorhombic

Cell lengths 4.8475, 4.8578, 7.8938 Å; angles 107.92, 90.00, 90.00 degrees
Fractional coordinates of all 6 atoms:
Dy (0.0000, 0.6633, 0.3266)
Dy (0.0000, 0.3367, 0.6734)
Dy (0.5000, 0.1687, 0.3374)
Dy (0.5000, 0.8313, 0.6626)
Dy (0.5000, 0.5000, 0.0000)
Cd (0.0000, 0.0000, 0.0000)

***

So which one is most stable? That would be A, about 16 meV per atom below the next structure.

***

A | ## Dy2Cd3 (GGA-PBE)

Data for Dy2Cd3 after structural relaxation.

## Properties
Space group = Cmcm
Total magnetic moment = 0.0 μB/cell
Crystal system = orthorhombic

Cell lengths 3.4574, 4.9555, 14.8736 Å; angles 90.00, 96.67, 90.00 degrees
Fractional coordinates of all 10 atoms:
Dy (0.7155, 0.2500, 0.4309)
Dy (0.5746, 0.7500, 0.1493)
Dy (0.4254, 0.2500, 0.8507)
Dy (0.2845, 0.7500, 0.5691)
Cd (0.1746, 0.7500, 0.3491)
Cd (0.8792, 0.7500, 0.7585)
Cd (0.9764, 0.7500, 0.9527)
Cd (0.8254, 0.2500, 0.6509)
Cd (0.0236, 0.2500, 0.0473)
Cd (0.1208, 0.2500, 0.2415)

***

B | ## Dy2Cd3 (GGA-PBE)

Data for Dy2Cd3 after structural relaxation.

## Properties
Space group = R-3m
Total magnetic moment = 0.0 μB/cell
Crystal system = trigonal

Cell lengths 5.0210, 5.0210, 6.4899 Å; angles 67.24, 67.24, 60.00 degrees
Fractional coordinates of all 5 atoms:
Cd (0.0000, 0.0000, 0.0000)
Cd (0.8095, 0.8095, 0.5715)
Cd (0.1905, 0.1905, 0.4285)
Dy (0.4022, 0.4022, 0.7935)
Dy (0.5978, 0.5978, 0.2065)

***

So which one is most stable? That would be A, about 44 meV per atom below the next structure.

***

A | ## Dy4ErCd (GGA-PBE)

Data for Dy4ErCd after structural relaxation.

## Properties
Space group = C2/c
Total magnetic moment = 0.0 μB/cell
Crystal system = monoclinic

Cell lengths 6.2872, 8.8718, 8.2741 Å; angles 112.86, 99.89, 112.86 degrees
Fractional coordinates of all 12 atoms:
Cd (0.2505, 0.0005, 0.0009)
Cd (0.7495, 0.9995, 0.9991)
Dy (0.3644, 0.9069, 0.6180)
Dy (0.2137, 0.5920, 0.7539)
Dy (0.0402, 0.1619, 0.7539)
Dy (0.7863, 0.4080, 0.2461)
Dy (0.9598, 0.8381, 0.2461)
Dy (0.7536, 0.7110, 0.6180)
Dy (0.6356, 0.0931, 0.3820)
Dy (0.2464, 0.2890, 0.3820)
Er (0.6608, 0.4108, 0.8217)
Er (0.3392, 0.5892, 0.1783)

***

B | ## Dy4ErCd (GGA-PBE)

Data for Dy4ErCd after structural relaxation.

## Properties
Space group = P4/mmm
Total magnetic moment = 0.0 μB/cell
Crystal system = tetragonal

Cell lengths 3.5459, 3.5459, 14.1289 Å; angles 90.00, 90.00, 90.00 degrees
Fractional coordinates of all 6 atoms:
Dy (0.5000, 0.5000, 0.1758)
Dy (0.5000, 0.5000, 0.8242)
Dy (0.0000, 0.0000, 0.6480)
Dy (0.0000, 0.0000, 0.3520)
Er (0.0000, 0.0000, 0.0000)
Cd (0.5000, 0.5000, 0.5000)

***

So which one is most stable? That would be B, about 101 meV per atom below the next structure.

***

A | ## Dy2Er3Cd2 (GGA-PBE)

Data for Dy2Er3Cd2 after structural relaxation.

## Properties
Space group = R-3m
Total magnetic moment = 0.0 μB/cell
Crystal system = trigonal

Cell lengths 5.3385, 5.3437, 8.4841 Å; angles 108.31, 90.00, 119.97 degrees
Fractional coordinates of all 7 atoms:
Er (0.5000, 0.0000, 0.0000)
Er (0.6559, 0.3118, 0.4680)
Er (0.3441, 0.6882, 0.5320)
Dy (0.0742, 0.1484, 0.7235)
Dy (0.9258, 0.8516, 0.2765)
Cd (0.2123, 0.4246, 0.1366)
Cd (0.7877, 0.5754, 0.8634)

***

B | ## Dy2Er3Cd2 (GGA-PBE)

Data for Dy2Er3Cd2 after structural relaxation.

## Properties
Space group = Cmmm
Total magnetic moment = 0.0 μB/cell
Crystal system = orthorhombic

Cell lengths 5.0573, 3.4360, 11.5671 Å; angles 90.00, 77.37, 90.00 degrees
Fractional coordinates of all 7 atoms:
Er (0.1466, 0.0000, 0.7068)
Er (0.0000, 0.0000, 0.0000)
Er (0.8534, 0.0000, 0.2932)
Dy (0.2895, 0.5000, 0.4209)
Dy (0.7105, 0.5000, 0.5791)
Cd (0.4314, 0.5000, 0.1373)
Cd (0.5686, 0.5000, 0.8627)

***

So which one is most stable? That would be A, about 106 meV per atom below the next structure.

***

A | ## DyEr2Cd4 (GGA-PBE)

Data for DyEr2Cd4 after structural relaxation.

## Properties
Space group = I4/mmm
Total magnetic moment = 0.0 μB/cell
Crystal system = tetragonal

Cell lengths 5.2971, 5.2971, 7.8266 Å; angles 109.78, 109.78, 90.00 degrees
Fractional coordinates of all 7 atoms:
Cd (0.1163, 0.6163, 0.2325)
Cd (0.3837, 0.8837, 0.7675)
Cd (0.6163, 0.1163, 0.2325)
Cd (0.8837, 0.3837, 0.7675)
Dy (0.0000, 0.0000, 0.0000)
Er (0.7421, 0.7421, 0.4841)
Er (0.2579, 0.2579, 0.5159)

***

B | ## DyEr2Cd4 (GGA-PBE)

Data for DyEr2Cd4 after structural relaxation.

## Properties
Space group = Cmmm
Total magnetic moment = 0.0 μB/cell
Crystal system = orthorhombic

Cell lengths 5.3527, 5.9008, 7.0542 Å; angles 114.72, 90.00, 90.00 degrees
Fractional coordinates of all 7 atoms:
Er (0.5000, 0.8558, 0.7116)
Er (0.5000, 0.1442, 0.2884)
Cd (0.0000, 0.2589, 0.5178)
Cd (0.0000, 0.7411, 0.4822)
Cd (0.5000, 0.6139, 0.2279)
Cd (0.5000, 0.3861, 0.7721)
Dy (0.0000, 0.5000, 0.0000)

***

So which one is most stable? That would be A, about 232 meV per atom below the next structure.

***

A | ## DyEr4Cd (GGA-PBE)

Data for DyEr4Cd after structural relaxation.

## Properties
Space group = P4/mmm
Total magnetic moment = 0.0 μB/cell
Crystal system = tetragonal

Cell lengths 3.5260, 3.5260, 14.0724 Å; angles 90.00, 90.00, 90.00 degrees
Fractional coordinates of all 6 atoms:
Er (0.0000, 0.0000, 0.3522)
Er (0.5000, 0.5000, 0.8235)
Er (0.5000, 0.5000, 0.1765)
Er (0.0000, 0.0000, 0.6478)
Cd (0.5000, 0.5000, 0.5000)
Dy (0.0000, 0.0000, 0.0000)

***

B | ## DyEr4Cd (GGA-PBE)

Data for DyEr4Cd after structural relaxation.

## Properties
Space group = C2/c
Total magnetic moment = 0.0 μB/cell
Crystal system = monoclinic

Cell lengths 5.9933, 5.9933, 11.6188 Å; angles 75.23, 75.23, 60.31 degrees
Fractional coordinates of all 12 atoms:
Er (0.5843, 0.7488, 0.2496)
Er (0.2512, 0.4157, 0.2504)
Er (0.6750, 0.1635, 0.0005)
Er (0.1635, 0.6750, 0.5005)
Er (0.7488, 0.5843, 0.7496)
Er (0.8365, 0.3250, 0.4995)
Er (0.3250, 0.8365, 0.9995)
Er (0.4157, 0.2512, 0.7504)
Cd (0.9172, 0.0828, 0.2500)
Cd (0.0828, 0.9172, 0.7500)
Dy (0.5000, 0.0000, 0.5000)
Dy (0.0000, 0.5000, 0.0000)

***

So which one is most stable? That would be A, about 68 meV per atom below the next structure.

***

A | ## Dy4Er5Cd (GGA-PBE)

Data for Dy4Er5Cd after structural relaxation.

## Properties
Space group = I4mm
Total magnetic moment = 0.0 μB/cell
Crystal system = tetragonal

Cell lengths 5.6638, 7.9754, 7.9754 Å; angles 82.76, 69.20, 69.20 degrees
Fractional coordinates of all 10 atoms:
Dy (0.1415, 0.3206, 0.3206)
Dy (0.4621, 0.6794, 0.3206)
Dy (0.4621, 0.3206, 0.6794)
Dy (0.7827, 0.6794, 0.6794)
Er (0.7700, 0.0000, 0.3694)
Er (0.1394, 0.0000, 0.6306)
Er (0.1394, 0.6306, 0.0000)
Er (0.7701, 0.3694, 0.0000)
Er (0.6621, 0.0000, 0.0000)
Cd (0.1808, 0.0000, 0.0000)

***

B | ## Dy4Er5Cd (GGA-PBE)

Data for Dy4Er5Cd after structural relaxation.

## Properties
Space group = Pmmm
Total magnetic moment = 0.0 μB/cell
Crystal system = orthorhombic

Cell lengths 4.8760, 3.5070, 17.4104 Å; angles 90.00, 90.00, 90.00 degrees
Fractional coordinates of all 10 atoms:
Dy (0.0000, 0.0000, 0.3981)
Dy (0.0000, 0.0000, 0.6019)
Dy (0.0000, 0.0000, 0.1962)
Dy (0.0000, 0.0000, 0.8038)
Er (0.5000, 0.5000, 0.0928)
Er (0.5000, 0.5000, 0.2939)
Er (0.5000, 0.5000, 0.7061)
Er (0.5000, 0.5000, 0.5000)
Er (0.5000, 0.5000, 0.9072)
Cd (0.0000, 0.0000, 0.0000)

***

So which one is most stable? That would be B, about 158 meV per atom below the next structure.